# 1
A geometry-optimized CsPu4Cu3Se12 structure, computed with GGA-PBE.

```
CsPu4Cu3Se12
1.0
-5.1402 5.1402 5.1402
5.1402 -5.1402 5.1402
5.1402 5.1402 -5.1402
Cs Pu Cu Se
1 4 3 12
Cartesian
0.0000 0.0000 0.0000 Cs
2.5701 2.5701 -2.5701 Pu
2.5701 -2.5701 2.5701 Pu
-2.5701 2.5701 2.5701 Pu
2.5701 2.5701 2.5701 Pu
5.1402 0.0000 0.0000 Cu
0.0000 5.1402 0.0000 Cu
0.0000 0.0000 5.1402 Cu
3.3846 1.6819 0.0000 Se
6.8958 1.6819 0.0000 Se
5.1402 -1.7556 3.4582 Se
3.4582 5.1402 -1.7556 Se
1.6819 0.0000 3.3846 Se
0.0000 3.3846 1.6819 Se
5.1402 1.7556 3.4582 Se
3.4582 5.1402 1.7556 Se
1.6819 0.0000 6.8958 Se
0.0000 6.8958 1.6819 Se
-1.7556 3.4582 5.1402 Se
1.7556 3.4582 5.1402 Se
```

Results
Size of the total moment = 17.7 Bohr magnetons per cell
ΔE_f (raw) = -729 meV per atom
D(E_F) = 38.7 states/eV/cell
Calculated density = 6.87 Mg/m³
Space group = No. 204
Uncorrected energy = -0.466 Ry per atom


# 2
A geometry-optimized OsAuC2Br structure, computed with GGA-PBE.

```
OsAuC2Br
1.0
3.9216 0.0000 0.0000
0.0000 3.9216 0.0000
0.0000 0.0000 5.7978
Os Au C Br
1 1 2 1
Cartesian
0.0000 0.0000 0.0000 Os
1.9608 1.9608 2.8989 Au
0.0000 1.9608 0.0000 C
1.9608 0.0000 0.0000 C
0.0000 0.0000 2.8989 Br
```

Results
Size of the total moment = 0.0 Bohr magnetons per cell
ΔE_f (raw) = 1412 meV per atom
D(E_F) = 2.5 states/eV/cell
Calculated density = 9.15 Mg/m³
Space group = No. 123
Uncorrected energy = -0.405 Ry per atom


# 3
A geometry-optimized RbPaMnS3 structure, computed with GGA-PBE.

```
RbPaMnS3
1.0
2.0037 -7.4430 0.0000
2.0037 7.4430 0.0000
0.0000 0.0000 10.3476
Rb Pa Mn S
2 2 2 6
Cartesian
2.0037 3.8937 7.7607 Rb
2.0037 -3.8937 2.5869 Rb
2.0037 0.0000 0.0000 Pa
2.0037 0.0000 5.1738 Pa
2.0037 6.9502 2.5869 Mn
2.0037 -6.9502 7.7607 Mn
2.0037 5.6791 0.6182 S
2.0037 5.6791 4.5556 S
2.0037 0.8120 2.5869 S
2.0037 -0.8120 7.7607 S
2.0037 -5.6791 5.7920 S
2.0037 -5.6791 9.7293 S
```

Results
Size of the total moment = 6.0 Bohr magnetons per cell
ΔE_f (raw) = -1305 meV per atom
D(E_F) = 9.9 states/eV/cell
Calculated density = 5.03 Mg/m³
Space group = No. 63
Uncorrected energy = -0.488 Ry per atom